Record 1
Below is a geometry-optimized SrHfTe3 structure, with properties calculated at the PBE level.

Lattice parameters (Å, degrees): 4.2026 8.6691 15.3295 90.00 90.00 90.00
With the nearest neighbours (Å) after each atom.
Space group Amm2 (No. 38)
Inequivalent atoms, fractional coordinates:
Sr  0.0000  0.0000  0.0000  4 Te 3.13-3.21
Hf  0.5000  0.0000  0.6731  5 Te 2.69-2.89
Te  0.0000  0.2192  0.6369  2 Hf 2.89, 1 Sr 3.21
Te  0.5000  0.0000  0.8489  1 Hf 2.69

V	558.5	Å³/cell
calculated density	3.9	Mg/m³
E	-0.37030	Ry/atom
ΔE_f (raw)	-826	meV per atom

=====

Record 2
Below is a geometry-optimized SrHfTe3 structure, with properties calculated at the PBE level.

Lattice parameters (Å, degrees): 13.4624 14.7056 6.8779 90.00 96.15 90.00
With the nearest neighbours (Å) after each atom.
Space group C2/c (No. 15)
Inequivalent atoms, fractional coordinates:
Sr  0.1520  0.0910  0.0705  7 Te 3.23-3.58
Hf  0.0000  0.2765  0.7500  6 Te 2.89-2.99
Hf  0.0000  0.4301  0.2500  6 Te 2.83-2.96
Te  0.1000  0.1323  0.5624  1 Hf 2.89
Te  0.1270  0.4245  0.6102  3 Hf 2.86-2.99
Te  0.1365  0.3100  0.0968  2 Hf 2.83-2.89

V	1353.8	Å³/cell
calculated density	6.4	Mg/m³
E	-0.38889	Ry/atom
ΔE_f (raw)	-1079	meV per atom

=====

Record 3
Below is a geometry-optimized SrHfTe3 structure, with properties calculated at the PBE level.

Lattice parameters (Å, degrees): 7.9615 7.9615 6.8868 90.00 90.00 120.00
With the nearest neighbours (Å) after each atom.
Space group P6_3 (No. 173)
Inequivalent atoms, fractional coordinates:
Sr  0.3333  0.6667  0.0000  6 Te 3.32-3.33
Hf  0.0000  0.0000  0.0249  6 Te 2.85-2.97
Te  0.0285  0.7212  0.2898  2 Hf 2.85-2.97

V	378.0	Å³/cell
calculated density	5.7	Mg/m³
E	-0.39154	Ry/atom
ΔE_f (raw)	-1115	meV per atom

=====

- Which formula does entry 2 have?
  SrHfTe3

=====

What did the second record say?
Below is a geometry-optimized SrHfTe3 structure, with properties calculated at the PBE level.

Lattice parameters (Å, degrees): 13.4624 14.7056 6.8779 90.00 96.15 90.00
With the nearest neighbours (Å) after each atom.
Space group C2/c (No. 15)
Inequivalent atoms, fractional coordinates:
Sr  0.1520  0.0910  0.0705  7 Te 3.23-3.58
Hf  0.0000  0.2765  0.7500  6 Te 2.89-2.99
Hf  0.0000  0.4301  0.2500  6 Te 2.83-2.96
Te  0.1000  0.1323  0.5624  1 Hf 2.89
Te  0.1270  0.4245  0.6102  3 Hf 2.86-2.99
Te  0.1365  0.3100  0.0968  2 Hf 2.83-2.89

V	1353.8	Å³/cell
calculated density	6.4	Mg/m³
E	-0.38889	Ry/atom
ΔE_f (raw)	-1079	meV per atom

=====

- What is the ΔE_f (raw) in the first record?
  -826 meV per atom

=====

- calculated density of number 1 (SrHfTe3)?
  3.9 Mg/m³